Entry 1:
VASP calculation (GGA-PBEsol) on a relaxed BaSrCa2 crystal.

a = 4.0853 Å, b = 4.0853 Å, c = 11.4327 Å
α = 90.00°, β = 90.00°, γ = 90.11°
Closest atoms and distances in Å follow each position.
Fractional positions:
Ba 0.0000 0.0000 0.0000  4 Ba 4.09, 4 Ca 4.12-4.13, 4 Sr 4.32
Sr 0.5000 0.5000 0.7192  4 Ca 4.01, 4 Sr 4.09, 4 Ba 4.32
Ca 0.0000 0.0000 0.4761  8 Ca 3.82-4.09, 4 Sr 4.01
Ca 0.5000 0.5000 0.2576  8 Ca 3.82-4.09, 4 Ba 4.12-4.13

Values from the calculation:
excess energy over the best structure of this formula in the dataset = 0.0055 eV/atom
DFT formation energy = 0.1 eV/f.u.
magnetic moment = 0.00 Bohr magnetons per cell
crystal system = orthorhombic
space group = No. 35
calculated total energy = -2.040 eV/atom
volume = 47.703 A^3/atom

Entry 2:
VASP calculation (GGA-PBEsol) on a relaxed BaSrCa2 crystal.

a = 6.4465 Å, b = 6.4465 Å, c = 6.4465 Å
α = 60.00°, β = 60.00°, γ = 60.00°
Closest atoms and distances in Å follow each position.
Fractional positions:
Ba 0.0000 0.0000 0.0000  8 Ca 3.95
Sr 0.5000 0.5000 0.5000  8 Ca 3.95
Ca 0.2500 0.2500 0.2500  4 Ba 3.95, 4 Sr 3.95
Ca 0.7500 0.7500 0.7500  4 Ba 3.95, 4 Sr 3.95

Values from the calculation:
excess energy over the best structure of this formula in the dataset = 0.0070 eV/atom
DFT formation energy = 0.1 eV/f.u.
magnetic moment = 0.00 Bohr magnetons per cell
crystal system = cubic
space group = No. 225
calculated total energy = -2.039 eV/atom
volume = 47.357 A^3/atom

Entry 3:
VASP calculation (GGA-PBEsol) on a relaxed BaSrCa4 crystal.

a = 7.3809 Å, b = 7.3809 Å, c = 7.3809 Å
α = 60.00°, β = 60.00°, γ = 60.00°
Closest atoms and distances in Å follow each position.
Fractional positions:
Ba 0.0000 0.0000 0.0000  12 Ca 4.33, 4 Sr 4.52
Sr 0.2500 0.2500 0.2500  12 Ca 4.33, 4 Ba 4.52
Ca 0.1254 0.6248 0.6248  6 Ca 3.69
Ca 0.6248 0.1254 0.6248  6 Ca 3.69
Ca 0.6248 0.6248 0.1254  6 Ca 3.69
Ca 0.6248 0.6248 0.6248  6 Ca 3.69

Values from the calculation:
DFT formation energy = 0.2 eV/f.u.
magnetic moment = 0.00 Bohr magnetons per cell
crystal system = cubic
space group = No. 216
calculated total energy = -2.059 eV/atom
volume = 47.387 A^3/atom

Entry 4:
VASP calculation (GGA-PBEsol) on a relaxed BaSrCa crystal.

a = 7.2051 Å, b = 7.2051 Å, c = 7.2051 Å
α = 146.20°, β = 132.94°, γ = 59.19°
Closest atoms and distances in Å follow each position.
Fractional positions:
Ba 0.0000 0.0000 0.0000  5 Sr 4.09-4.17, 5 Ca 4.12-4.18, 2 Ba 4.19
Sr 0.6735 0.6735 0.0000  5 Ca 4.09-4.26, 5 Ba 4.09-4.17, 2 Sr 4.19
Ca 0.3338 0.3338 0.0000  5 Sr 4.09-4.26, 5 Ba 4.12-4.18, 2 Ca 4.19

Values from the calculation:
DFT formation energy = 0.1 eV/f.u.
magnetic moment = 0.00 Bohr magnetons per cell
crystal system = orthorhombic
space group = No. 44
calculated total energy = -2.017 eV/atom
volume = 50.328 A^3/atom

Entry 5:
VASP calculation (GGA-PBEsol) on a relaxed BaSrCa crystal.

a = 10.1300 Å, b = 9.9015 Å, c = 4.0093 Å
α = 81.67°, β = 75.27°, γ = 23.05°
Closest atoms and distances in Å follow each position.
Fractional positions:
Ba 0.0000 0.0000 0.0000  2 Ca 3.96, 4 Ba 4.01, 2 Sr 4.13
Sr 0.3248 0.3248 0.6752  2 Ca 3.91, 4 Sr 4.01, 2 Ba 4.13
Ca 0.6638 0.6638 0.3362  2 Sr 3.91, 2 Ba 3.96, 4 Ca 4.01

Values from the calculation:
DFT formation energy = 0.1 eV/f.u.
magnetic moment = 0.00 Bohr magnetons per cell
crystal system = orthorhombic
space group = No. 42
calculated total energy = -2.017 eV/atom
volume = 49.344 A^3/atom

Entry 6:
VASP calculation (GGA-PBEsol) on a relaxed BaSrCa2 crystal.

a = 3.9237 Å, b = 6.5053 Å, c = 7.4078 Å
α = 90.00°, β = 98.42°, γ = 90.00°
Closest atoms and distances in Å follow each position.
Fractional positions:
Ba 0.0000 0.0000 0.0000  5 Ca 3.90-4.35, 2 Ba 3.92, 2 Sr 4.00
Sr 0.2239 0.5000 0.7267  5 Ca 3.89-4.31, 2 Sr 3.92, 2 Ba 4.00
Ca 0.5161 0.0000 0.4919  4 Ca 3.88-3.92, 2 Ba 3.90-3.96, 2 Sr 3.94
Ca 0.7012 0.5000 0.2382  4 Ca 3.88-3.92, 3 Sr 3.89-4.31, 2 Ba 3.96

Values from the calculation:
excess energy over the best structure of this formula in the dataset = 0.0044 eV/atom
DFT formation energy = 0.1 eV/f.u.
magnetic moment = 0.00 Bohr magnetons per cell
crystal system = monoclinic
space group = No. 6
calculated total energy = -2.041 eV/atom
volume = 46.761 A^3/atom

Entry 7:
VASP calculation (GGA-PBEsol) on a relaxed BaSrCa2 crystal.

a = 13.4568 Å, b = 13.4568 Å, c = 13.4568 Å
α = 17.34°, β = 17.34°, γ = 17.34°
Closest atoms and distances in Å follow each position.
Fractional positions:
Ba 0.0000 0.0000 0.0000  6 Ba 4.06, 3 Ca 4.10, 3 Sr 4.27
Sr 0.2435 0.2435 0.2435  3 Ca 4.01, 6 Sr 4.06, 3 Ba 4.27
Ca 0.4948 0.4948 0.4948  9 Ca 3.85-4.06, 3 Sr 4.01
Ca 0.7513 0.7513 0.7513  9 Ca 3.85-4.06, 3 Ba 4.10

Values from the calculation:
excess energy over the best structure of this formula in the dataset = 0.0124 eV/atom
DFT formation energy = 0.1 eV/f.u.
magnetic moment = 0.00 Bohr magnetons per cell
crystal system = trigonal
space group = No. 160
calculated total energy = -2.033 eV/atom
volume = 47.234 A^3/atom

Entry 8:
VASP calculation (GGA-PBEsol) on a relaxed BaSrCa crystal.

a = 6.5419 Å, b = 6.5419 Å, c = 3.9720 Å
α = 90.00°, β = 90.00°, γ = 120.00°
Closest atoms and distances in Å follow each position.
Fractional positions:
Ba 0.0000 0.0000 0.0000  2 Ba 3.97, 3 Ca 4.01, 3 Sr 4.01
Sr 0.3333 0.6667 0.3422  2 Sr 3.97, 3 Ca 3.98, 3 Ba 4.01
Ca 0.6667 0.3333 0.6610  2 Ca 3.97, 3 Sr 3.98, 3 Ba 4.01

Values from the calculation:
DFT formation energy = 0.1 eV/f.u.
magnetic moment = 0.00 Bohr magnetons per cell
crystal system = trigonal
space group = No. 156
calculated total energy = -2.018 eV/atom
volume = 49.071 A^3/atom